# 1
Computed, not measured: a relaxed NiMoP3 crystal at the GGA-PBE level of DFT.

Values from the calculation:
SG = No. 221
E above lowest polymorph = 0.127 eV/f.u.

```
5
Lattice="-2.035 -1.080 -4.030 3.620 -2.686 -1.109 -2.074 -3.629 2.020" Properties=species:S:1:pos:R:3 pbc="T T T"
P 1.810 -1.343 -0.555
P -1.037 -1.815 1.010
P -1.018 -0.540 -2.015
Ni -0.244 -3.697 -1.560
Mo 0.000 0.000 0.000
```



# 2
Computed, not measured: a relaxed PaNiMoP2 crystal at the GGA-PBE level of DFT.

Values from the calculation:
SG = No. 119

```
5
Lattice="3.816 0.000 0.000 0.000 3.816 0.000 -1.908 -1.908 5.431" Properties=species:S:1:pos:R:3 pbc="T T T"
Ni 0.000 1.908 2.715
P 1.908 1.908 1.289
P 0.000 0.000 4.141
Mo 1.908 0.000 2.715
Pa 0.000 0.000 0.000
```



# 3
Computed, not measured: a relaxed RbNiMoP2 crystal at the GGA-PBE level of DFT.

Values from the calculation:
SG = No. 123

```
5
Lattice="5.112 0.000 0.000 0.000 4.330 0.000 0.000 0.000 5.112" Properties=species:S:1:pos:R:3 pbc="T T T"
Mo 2.556 2.165 2.556
Rb 0.000 0.000 0.000
Ni 0.000 2.165 0.000
P 2.556 0.000 0.000
P 0.000 0.000 2.556
```



| no. | formation enthalpy at 0 K (eV per atom) |
| --- | --- |
| 1 | 0.865 |
| 2 | -0.717 |
| 3 | 2.741 |